A plane-wave DFT calculation with PBE was carried out for a geometry-optimized KLi3 structure.

Computed properties:
Its energy relative to the elements is 186 meV per atom. Its final energy is -6.09 eV per cell. As for the size of the total moment: 0.00 μB/f.u.

Cell: 5.673 5.673 5.673 Å, 60.00 60.00 60.00°
Sites, in units of the cell vectors:
K1 0.000 0.000 0.000
Li1 0.750 0.750 0.750
Li2 0.500 0.500 0.500
Li3 0.250 0.250 0.250